Record 1
Crystalline Y2MgPb at its relaxed geometry, computed with GGA-PBEsol.

Output
E_form: 0.04 eV/atom
N(E_F): 25.71 states/eV/cell
crystal system: cubic
V: 108.6 Å³/f.u.

```
data_Y2MgPb
_symmetry_space_group_name_H-M 'F -4 3 m'
_symmetry_Int_Tables_number 216
_symmetry_space_group_name_Hall 'F -4 2 3'
_cell_length_a 7.5737
_cell_length_b 7.5737
_cell_length_c 7.5737
_cell_angle_alpha 90.00
_cell_angle_beta 90.00
_cell_angle_gamma 90.00
loop_
_atom_site_label
_atom_site_type_symbol
_atom_site_fract_x
_atom_site_fract_y
_atom_site_fract_z
Y1 Y 0.0000 0.0000 0.0000
Y2 Y 0.2500 0.2500 0.2500
Mg1 Mg 0.2500 0.2500 0.7500
Pb1 Pb 0.0000 0.0000 0.5000
```

Record 2
Crystalline YMg3Pb at its relaxed geometry, computed with GGA-PBEsol.

Output
E_form: 0.41 eV/atom
N(E_F): 3.04 states/eV/cell
crystal system: cubic
V: 152.9 Å³/f.u.

```
data_YMg3Pb
_symmetry_space_group_name_H-M 'P m -3 m'
_symmetry_Int_Tables_number 221
_symmetry_space_group_name_Hall '-P 4 2 3'
_cell_length_a 5.3472
_cell_length_b 5.3472
_cell_length_c 5.3472
_cell_angle_alpha 90.00
_cell_angle_beta 90.00
_cell_angle_gamma 90.00
loop_
_atom_site_label
_atom_site_type_symbol
_atom_site_fract_x
_atom_site_fract_y
_atom_site_fract_z
Y1 Y 0.0000 0.0000 0.0000
Mg1 Mg 0.0000 0.5000 0.5000
Pb1 Pb 0.5000 0.5000 0.5000
```

Record 3
Crystalline Y2MgPb at its relaxed geometry, computed with GGA-PBEsol.

Output
E_form: -0.32 eV/atom
N(E_F): 6.71 states/eV/cell
crystal system: orthorhombic
V: 107.0 Å³/f.u.

```
data_Y2MgPb
_symmetry_space_group_name_H-M 'I m m 2'
_symmetry_Int_Tables_number 44
_cell_length_a 4.1653
_cell_length_b 4.7936
_cell_length_c 10.7150
_cell_angle_alpha 90.00
_cell_angle_beta 90.00
_cell_angle_gamma 90.00
loop_
_symmetry_equiv_pos_as_xyz
'x,y,z'
'-x,-y,z'
'-x,y,z'
'x,-y,z'
'x+1/2,y+1/2,z+1/2'
'-x+1/2,-y+1/2,z+1/2'
'-x+1/2,y+1/2,z+1/2'
'x+1/2,-y+1/2,z+1/2'
loop_
_atom_site_label
_atom_site_type_symbol
_atom_site_fract_x
_atom_site_fract_y
_atom_site_fract_z
Y1 Y 0.0000 0.0000 0.0000
Y2 Y 0.0000 0.5000 0.2399
Mg1 Mg 0.0000 0.5000 0.7671
Pb1 Pb 0.0000 0.0000 0.4809
```